Below is a relaxed structure of CrBi2RhO8, with properties calculated at the PBE+U level.

Structure (POSCAR):
```
CrBi2RhO8
1.0
4.7470 0.0000 0.0000
0.0000 6.6409 0.0000
-0.0145 0.0000 4.8308
Cr Bi Rh O
1 2 1 8
direct
0.0000 0.0000 0.0000
0.5000 0.2491 0.5000
0.5000 0.7509 0.5000
0.0000 0.5000 0.0000
0.2036 0.2503 0.1531
0.2036 0.7497 0.1531
0.2583 0.5000 0.6766
0.2743 0.0000 0.6848
0.7257 0.0000 0.3152
0.7417 0.5000 0.3234
0.7964 0.2503 0.8469
0.7964 0.7497 0.8469
```

total magnetic moment = 2.8 μB/cell
total energy = -0.2279 Ha/atom
volume = 12.69 Å³ per atom